Here is an optimized crystal structure of ScTi3Bi from Alexandria via LeMat-Bulk. Energies are from GGA-PBE.

Cell lengths 4.8053, 4.8053, 4.8053 Å; angles 90.00, 90.00, 90.00 degrees
Element x y z (fractional)
Sc (0.0000, 0.0000, 0.0000)
Ti (0.0000, 0.0000, 0.5000)
Ti (0.0000, 0.5000, 0.0000)
Ti (0.5000, 0.0000, 0.0000)
Bi (0.5000, 0.5000, 0.5000)

Summary:
Total moment ... 2.1 μB per cell
DOS at the Fermi energy ... 6.317 states/eV/f.u.
VASP energy ... -28.886 eV for the cell shown
Distance to the lowest polymorph of the same formula ... 0.016 eV/atom
Symmetry ... Pm-3m, No. 221
Energy relative to the elements ... 5.01 eV/f.u.

***

Here is an optimized crystal structure of ReTe2Ir from Alexandria via LeMat-Bulk. Energies are from GGA-PBE.

Cell lengths 4.0117, 4.0117, 9.3982 Å; angles 90.00, 90.00, 90.00 degrees
Element x y z (fractional)
Re (0.0000, 0.0000, 0.0000)
Re (0.5000, 0.5000, 0.5000)
Te (0.0000, 0.0000, 0.5000)
Te (0.0000, 0.5000, 0.7500)
Te (0.5000, 0.0000, 0.2500)
Te (0.5000, 0.5000, 0.0000)
Ir (0.0000, 0.5000, 0.2500)
Ir (0.5000, 0.0000, 0.7500)

Summary:
Formation energy (no corrections) ... 0.94 eV/atom
Total moment ... 0.0 μB per cell
DOS at the Fermi energy ... 4.769 states/eV/f.u.
VASP energy ... -47.648 eV for the cell shown
Distance to the lowest polymorph of the same formula ... 0.721 eV/atom
Symmetry ... I-4m2, No. 119

***

Here is an optimized crystal structure of TaNi2Rh from Alexandria via LeMat-Bulk. Energies are from GGA-PBE.

Cell lengths 6.7500, 6.7500, 5.0864 Å; angles 90.00, 90.00, 90.00 degrees
Element x y z (fractional)
Ta (0.0000, 0.0000, 0.0000)
Ta (0.0000, 0.5000, 0.2500)
Ta (0.5000, 0.0000, 0.7500)
Ta (0.5000, 0.5000, 0.5000)
Ni (0.2432, 0.2500, 0.1250)
Ni (0.2500, 0.7432, 0.3750)
Ni (0.2500, 0.7568, 0.8750)
Ni (0.2568, 0.2500, 0.6250)
Ni (0.7432, 0.7500, 0.6250)
Ni (0.7500, 0.2432, 0.8750)
Ni (0.7500, 0.2568, 0.3750)
Ni (0.7568, 0.7500, 0.1250)
Rh (0.0000, 0.0000, 0.5000)
Rh (0.0000, 0.5000, 0.7500)
Rh (0.5000, 0.0000, 0.2500)
Rh (0.5000, 0.5000, 0.0000)

Summary:
Total moment ... 0.0 μB per cell
DOS at the Fermi energy ... 2.257 states/eV/f.u.
VASP energy ... -120.733 eV for the cell shown
Symmetry ... I-42d, No. 122
Energy relative to the elements ... 0.58 eV/f.u.

***

Here is an optimized crystal structure of Nb2SnGe from Alexandria via LeMat-Bulk. Energies are from GGA-PBE.

Cell lengths 3.0980, 3.0980, 27.2548 Å; angles 90.00, 90.00, 120.00 degrees
Element x y z (fractional)
Nb (0.0000, 0.0000, 0.2453)
Nb (0.0000, 0.0000, 0.7547)
Nb (0.3333, 0.6667, 0.4214)
Nb (0.3333, 0.6667, 0.9120)
Nb (0.6667, 0.3333, 0.0880)
Nb (0.6667, 0.3333, 0.5786)
Sn (0.0000, 0.0000, 0.0000)
Sn (0.3333, 0.6667, 0.6667)
Sn (0.6667, 0.3333, 0.3333)
Ge (0.0000, 0.0000, 0.5000)
Ge (0.3333, 0.6667, 0.1667)
Ge (0.6667, 0.3333, 0.8333)

Summary:
Total moment ... 0.0 μB per cell
DOS at the Fermi energy ... 3.614 states/eV/f.u.
VASP energy ... -86.020 eV for the cell shown
Symmetry ... R-3m, No. 166
Energy relative to the elements ... 0.09 eV/f.u.